# AcDyRu2

An optimized crystal structure of AcDyRu2 (PBE-GGA, Alexandria).

Geometry as CIF:
```
data_AcDyRu2
_chemical_formula_sum 'Ac1 Dy1 Ru2'
_cell_length_a 3.5423
_cell_length_b 3.5423
_cell_length_c 7.0555
_cell_angle_alpha 90.00
_cell_angle_beta 90.00
_cell_angle_gamma 90.00
_space_group_name_H-M_alt 'P 1'
_space_group_IT_number 1
loop_
_space_group_symop_operation_xyz
'x,y,z'
loop_
_atom_site_label
_atom_site_type_symbol
_atom_site_fract_x
_atom_site_fract_y
_atom_site_fract_z
_atom_site_occupancy
Ru1 Ru 0.0000 0.0000 0.7651 1
Ru2 Ru 0.0000 0.0000 0.2349 1
Ac1 Ac 0.5000 0.5000 0.5000 1
Dy1 Dy 0.5000 0.5000 0.0000 1
```

Output
ΔH_f (0 K) in eV per atom: -0.06
Density of states at the Fermi level in states/eV/cell: 4.52
Distance to the lowest polymorph of the same formula in meV per atom: 15.0

# TlReP2S

An optimized crystal structure of TlReP2S (PBE-GGA, Alexandria).

Geometry as CIF:
```
data_TlReP2S
_chemical_formula_sum 'Tl1 Re1 P2 S1'
_cell_length_a 4.5830
_cell_length_b 4.5830
_cell_length_c 5.2233
_cell_angle_alpha 90.00
_cell_angle_beta 90.00
_cell_angle_gamma 90.00
_space_group_name_H-M_alt 'P 1'
_space_group_IT_number 1
loop_
_space_group_symop_operation_xyz
'x,y,z'
loop_
_atom_site_label
_atom_site_type_symbol
_atom_site_fract_x
_atom_site_fract_y
_atom_site_fract_z
_atom_site_occupancy
Re1 Re 0.0000 0.0000 0.0000 1
Tl1 Tl 0.5000 0.5000 0.5000 1
S1 S 0.0000 0.0000 0.5000 1
P1 P 0.0000 0.5000 0.0000 1
P2 P 0.5000 0.0000 0.0000 1
```

Output
Density of states at the Fermi level in states/eV/cell: 4.21
Distance to the lowest polymorph of the same formula in meV per atom: 0.0
Uncorrected formation energy in eV per atom: 0.3391

# SnSb2Au8

An optimized crystal structure of SnSb2Au8 (PBE-GGA, Alexandria).

Geometry as CIF:
```
data_SnSb2Au8
_chemical_formula_sum 'Sn1 Sb2 Au8'
_cell_length_a 3.9072
_cell_length_b 9.8547
_cell_length_c 6.5931
_cell_angle_alpha 103.94
_cell_angle_beta 89.91
_cell_angle_gamma 107.17
_space_group_name_H-M_alt 'P 1'
_space_group_IT_number 1
loop_
_space_group_symop_operation_xyz
'x,y,z'
loop_
_atom_site_label
_atom_site_type_symbol
_atom_site_fract_x
_atom_site_fract_y
_atom_site_fract_z
_atom_site_occupancy
Sn1 Sn 0.5000 0.0000 0.0000 1
Sb1 Sb 0.2750 0.6403 0.4147 1
Sb2 Sb 0.7250 0.3597 0.5853 1
Au1 Au 0.5987 0.4470 0.1806 1
Au2 Au 0.3093 0.0855 0.6394 1
Au3 Au 0.1296 0.1822 0.2790 1
Au4 Au 0.0373 0.7289 0.0793 1
Au5 Au 0.8704 0.8178 0.7210 1
Au6 Au 0.6907 0.9145 0.3606 1
Au7 Au 0.4013 0.5530 0.8194 1
Au8 Au 0.9627 0.2711 0.9207 1
```

Output
Density of states at the Fermi level in states/eV/cell: 3.48
Uncorrected formation energy in eV per atom: 0.0087

# Er2BeZnPt6

An optimized crystal structure of Er2BeZnPt6 (PBE-GGA, Alexandria).

Geometry as CIF:
```
data_Er2BeZnPt6
_chemical_formula_sum 'Er2 Be1 Zn1 Pt6'
_cell_length_a 7.5391
_cell_length_b 5.5790
_cell_length_c 7.5396
_cell_angle_alpha 68.29
_cell_angle_beta 43.43
_cell_angle_gamma 90.00
_space_group_name_H-M_alt 'P 1'
_space_group_IT_number 1
loop_
_space_group_symop_operation_xyz
'x,y,z'
loop_
_atom_site_label
_atom_site_type_symbol
_atom_site_fract_x
_atom_site_fract_y
_atom_site_fract_z
_atom_site_occupancy
Er1 Er 0.7064 0.2932 0.4133 1
Er2 Er 0.2936 0.7068 0.5867 1
Be1 Be 0.5000 0.5000 0.0000 1
Zn1 Zn 0.0000 0.0000 0.0000 1
Pt1 Pt 0.2348 0.2593 0.4818 1
Pt2 Pt 0.7415 0.7663 0.9746 1
Pt3 Pt 0.2585 0.7406 0.0253 1
Pt4 Pt 0.7415 0.2594 0.9747 1
Pt5 Pt 0.2585 0.2337 0.0254 1
Pt6 Pt 0.7652 0.7407 0.5182 1
```

Output
ΔH_f (0 K) in eV per atom: -0.82
Density of states at the Fermi level in states/eV/cell: 4.67